A relaxed ZrTaTc crystal. Source: Alexandria via LeMat-Bulk, functional PBEsol.

Values from the calculation:
The calculation puts the energy above the most stable polymorph in this dataset at 0.00 eV per formula unit. The uncorrected energy comes out at -11.260 eV per atom. As for the mass density: 11.8 g/cm³. As for the calculated formation energy: -0.87 eV per formula unit. The crystal system is tetragonal. For the density of states at the Fermi level, the calculation gives 0.73 states/eV/atom.

Cell lengths 3.209, 3.209, 5.550 Å; angles 106.80, 106.80, 90.00 degrees
Element x y z (fractional)
Ta1 0.016 0.016 0.031
Zr1 0.326 0.326 0.652
Tc1 0.658 0.658 0.317


A relaxed YReNi3 crystal. Source: Alexandria via LeMat-Bulk, functional PBEsol.

Values from the calculation:
The calculation puts the energy above the most stable polymorph in this dataset at 0.00 eV per formula unit. The uncorrected energy comes out at -7.123 eV per atom. As for the mass density: 8.4 g/cm³. As for the calculated formation energy: 3.01 eV per formula unit. The crystal system is cubic. For the density of states at the Fermi level, the calculation gives 0.94 states/eV/atom.

Cell lengths 4.476, 4.476, 4.476 Å; angles 90.00, 90.00, 90.00 degrees
Element x y z (fractional)
Y1 0.500 0.500 0.500
Ni1 0.000 0.000 0.500
Ni2 0.500 0.000 0.000
Ni3 0.000 0.500 0.000
Re1 0.000 0.000 0.000


A relaxed BaHfS3 crystal. Source: Alexandria via LeMat-Bulk, functional PBEsol.

Values from the calculation:
The uncorrected energy comes out at -7.037 eV per atom. As for the mass density: 5.8 g/cm³. The uncorrected formation energy is -1.876 eV per atom. The crystal system is orthorhombic.

Cell lengths 3.822, 8.613, 14.272 Å; angles 90.00, 90.00, 90.00 degrees
Element x y z (fractional)
Hf1 0.750 0.338 0.941
Hf2 0.750 0.838 0.559
Hf3 0.250 0.162 0.441
Hf4 0.250 0.662 0.059
Ba1 0.250 0.433 0.674
Ba2 0.750 0.567 0.326
Ba3 0.250 0.933 0.826
Ba4 0.750 0.067 0.174
S1 0.750 0.716 0.712
S2 0.750 0.828 0.996
S3 0.750 0.975 0.396
S4 0.750 0.475 0.104
S5 0.250 0.025 0.604
S6 0.250 0.284 0.288
S7 0.750 0.328 0.504
S8 0.250 0.172 0.004
S9 0.750 0.216 0.788
S10 0.250 0.525 0.896
S11 0.250 0.672 0.496
S12 0.250 0.784 0.212


A relaxed YMnSi crystal. Source: Alexandria via LeMat-Bulk, functional PBEsol.

Values from the calculation:
The uncorrected energy comes out at -8.036 eV per atom. As for the mass density: 5.4 g/cm³. The uncorrected formation energy is -0.593 eV per atom. The crystal system is tetragonal. For the density of states at the Fermi level, the calculation gives 0.78 states/eV/atom.

Cell lengths 3.876, 3.876, 7.066 Å; angles 90.00, 90.00, 90.00 degrees
Site moments in Bohr magnetons follow the coordinates.
Element x y z (fractional)
Mn1 0.500 0.500 0.500  1.96
Mn2 0.000 0.000 0.500  1.96
Si1 0.000 0.500 0.300  -0.06
Si2 0.500 0.000 0.700  -0.06
Y1 0.000 0.500 0.831  -0.09
Y2 0.500 0.000 0.169  -0.09


A relaxed BaInCu crystal. Source: Alexandria via LeMat-Bulk, functional PBEsol.

Values from the calculation:
The uncorrected energy comes out at -3.311 eV per atom. As for the mass density: 6.1 g/cm³. As for the calculated formation energy: -0.47 eV per formula unit. The crystal system is hexagonal. For the density of states at the Fermi level, the calculation gives 0.75 states/eV/atom.

Cell lengths 4.486, 4.697, 4.697 Å; angles 120.00, 90.00, 90.00 degrees
Element x y z (fractional)
In1 0.500 0.333 0.667
Cu1 0.500 0.667 0.333
Ba1 0.000 0.000 0.000


A relaxed Dy2CuAg3 crystal. Source: Alexandria via LeMat-Bulk, functional PBEsol.

Values from the calculation:
The uncorrected energy comes out at -4.313 eV per atom. As for the mass density: 10.1 g/cm³. As for the calculated formation energy: -1.65 eV per formula unit. The crystal system is tetragonal. For the density of states at the Fermi level, the calculation gives 0.39 states/eV/atom.

Cell lengths 3.611, 3.611, 8.966 Å; angles 90.00, 90.00, 90.00 degrees
Element x y z (fractional)
Ag1 0.000 0.000 0.673
Ag2 0.000 0.000 0.323
Ag3 0.500 0.500 0.832
Dy1 0.000 0.000 0.008
Dy2 0.500 0.500 0.495
Cu1 0.500 0.500 0.169